Entry 1:
LaTe2MoI | meta-GGA SCAN | single point on PBEsol structure

Output
size of the total moment: 4.1 μB/f.u.
energy relative to the elements, uncorrected: 0.280 eV per atom
D(E_F): 0.884 states/eV/atom

a b c (Å): 6.065 6.065 6.015
angles (deg): 90.00 90.00 90.00
Space group P4/mmm (No. 123)
Asymmetric unit:
La 0.000 0.000 0.000 x1
Te 0.000 0.500 0.000 x2
Mo 0.500 0.500 0.500 x1
I 0.000 0.000 0.500 x1



Entry 2:
Cs3Tm2I9 | meta-GGA SCAN | single point on PBEsol structure

Output
size of the total moment: 0.0 μB/f.u.
energy relative to the elements, uncorrected: -1.637 eV per atom
D(E_F): 0.000 states/eV/atom

a b c (Å): 8.2734 8.2734 20.9450
angles (deg): 90.00 90.00 120.00
Space group P6_3/mmc (No. 194)
Asymmetric unit:
Cs 0.0000 0.0000 0.2500 x2
Cs 0.3333 0.6667 0.0669 x4
Tm 0.3333 0.6667 0.6561 x4
I 0.0056 0.5028 0.7500 x6
I 0.1625 0.3250 0.5845 x12



Entry 3:
ZrNi3 | meta-GGA SCAN | single point on PBEsol structure

Output
energy relative to the elements: -469 meV/atom
size of the total moment: 0.0 μB/f.u.
D(E_F): 0.172 states/eV/atom

a b c (Å): 5.2321 5.2321 4.2498
angles (deg): 90.00 90.00 120.00
Space group P6_3/mmc (No. 194)
Asymmetric unit:
Zr 0.3333 0.6667 0.2500 x2
Ni 0.1560 0.3120 0.7500 x6



Question: Look up the D(E_F) of the third one.
Answer: 0.172 states/eV/atom



Question: Which of these has the highest size of the total moment?
Answer: LaTe2MoI